First-principles (PBE-GGA) data for Bi2Pd5Au2 after structural relaxation, as listed in Alexandria via LeMat-Bulk.

The value obtained for the total energy is -0.168 Ha/atom. The density of states at the Fermi level is 0.526 states/eV/atom. For the magnetization, the calculation gives 0.0 μB per formula unit.

The structure belongs to space group Cmce (No. 64); the cell edges are 13.4651, 7.1834 and 7.2458 Å and the angles 90.00°, 90.00° and 90.00°. The inequivalent atoms are Bi at (0.2040, 0.0000, 0.0000), Pd at (0.0000, 0.0000, 0.0000), Pd at (0.1365, 0.1676, 0.3342) and Au at (0.0000, 0.1360, 0.6351).